The following is a GGA-PBEsol calculation of a relaxed structure of ZrScMnNi3, from Alexandria via LeMat-Bulk.

Values from the calculation:
Formation enthalpy at 0 K = -0.383 eV/atom
Uncorrected energy = -138.7 eV per cell

Cell and atoms, written as CIF:
```
data_ZrScMnNi3
_chemical_formula_sum 'Zr3 Sc3 Mn3 Ni9'
_space_group_name_H-M_alt 'R 3 m'
_space_group_IT_number 160
_space_group_name_Hall 'R 3 -2"'
_cell_length_a 4.8963
_cell_length_b 4.8963
_cell_length_c 11.8393
_cell_angle_alpha 90.00
_cell_angle_beta 90.00
_cell_angle_gamma 120.00
loop_
_atom_site_label
_atom_site_fract_x
_atom_site_fract_y
_atom_site_fract_z
Zr1 0.0000 0.0000 0.0000
Sc1 0.0000 0.0000 0.2531
Mn1 0.0000 0.0000 0.6272
Ni1 0.0007 0.5004 0.1273
```